1.
Below is NaTa2As2 after structural relaxation, with properties calculated at the GGA-PBE level.

Structure (POSCAR):
```
NaTa2As2
1.0
-3.8138 -1.2409 -6.1899
-6.1862 -0.7080 3.9535
-0.5680 3.2636 -0.3043
As Na Ta
4 2 4
Direct
0.1484 0.3516 0.0000
0.8516 0.6484 0.0000
0.6484 0.1484 0.0000
0.3516 0.8516 0.0000
0.0000 0.0000 0.0000
0.5000 0.5000 0.0000
0.6395 0.8605 0.5000
0.3605 0.1395 0.5000
0.8605 0.3605 0.5000
0.1395 0.6395 0.5000
```

Results
The distance to the lowest polymorph of the same formula comes out at 0 meV per atom. The value obtained for the calculated formation energy is -121 meV per atom.


2.
Below is Be2PSe after structural relaxation, with properties calculated at the GGA-PBE level.

Structure (POSCAR):
```
Be2PSe
1.0
4.1299 0.0000 0.0000
0.0000 4.1299 0.0000
0.0000 0.0000 3.1199
Be Se P
2 1 1
Direct
0.0000 0.0000 0.0000
0.5000 0.5000 0.0000
0.0000 0.5000 0.5000
0.5000 0.0000 0.5000
```

Results
The distance to the lowest polymorph of the same formula comes out at 934 meV per atom.


3.
Below is LaMgNbAl2 after structural relaxation, with properties calculated at the GGA-PBE level.

Structure (POSCAR):
```
LaMgNbAl2
1.0
5.1771 0.0000 0.0000
0.0000 5.2733 0.0000
0.0000 0.0000 5.1771
Al La Mg Nb
2 1 1 1
Direct
0.5000 0.0000 0.0000
0.0000 0.0000 0.5000
0.0000 0.5000 0.0000
0.5000 0.5000 0.5000
0.0000 0.0000 0.0000
```

Results
The value obtained for the calculated formation energy is 458 meV per atom.


4.
Below is Ce4Er3Ir4 after structural relaxation, with properties calculated at the GGA-PBE level.

Structure (POSCAR):
```
Ce4Er3Ir4
1.0
3.9398 0.0000 0.0000
0.0000 9.1181 0.0000
-1.9699 -4.5590 7.3937
Er Ce Ir
3 4 4
Direct
0.8904 0.8904 0.7807
0.1096 0.1096 0.2193
0.0000 0.5000 0.0000
0.3329 0.1309 0.6659
0.3329 0.5350 0.6659
0.6671 0.8691 0.3341
0.6671 0.4650 0.3341
0.7941 0.2941 0.5881
0.5000 0.8228 0.0000
0.2059 0.7059 0.4119
0.5000 0.1772 0.0000
```

Results
The value obtained for the calculated formation energy is -565 meV per atom.


5.
Below is Ca2MgSb after structural relaxation, with properties calculated at the GGA-PBE level.

Structure (POSCAR):
```
Ca2MgSb
1.0
-4.1173 -1.1958 -0.3639
0.1751 -1.7923 3.9079
-1.9073 5.7399 2.7181
Ca Sb Mg
2 1 1
Direct
0.0000 0.0000 0.9600
0.5000 0.5000 0.2785
0.5000 0.5000 0.7639
0.0000 0.0000 0.4976
```

Results
The distance to the lowest polymorph of the same formula comes out at 228 meV per atom.


6.
Below is AcSbF after structural relaxation, with properties calculated at the GGA-PBE level.

Structure (POSCAR):
```
AcSbF
1.0
-1.5958 -0.7924 4.7332
-3.8741 -1.2225 -1.5108
3.1329 -2.9416 0.5638
F Ac Sb
1 1 1
Direct
0.1666 0.3333 0.6667
0.1667 0.0000 0.0000
0.6667 0.6667 0.3333
```

Results
The distance to the lowest polymorph of the same formula comes out at 0 meV per atom.


7.
Below is MnAl4 after structural relaxation, with properties calculated at the GGA-PBE level.

Structure (POSCAR):
```
MnAl4
1.0
-4.4346 4.9399 6.4246
-8.6204 0.1844 0.7922
-0.3929 -2.2587 8.3496
Al Mn
24 6
Direct
0.7500 0.6139 0.3861
0.3664 0.6269 0.4435
0.2500 0.3861 0.6139
0.1336 0.5565 0.3731
0.1344 0.2495 0.2101
0.3827 0.5213 0.9556
0.9635 0.7918 0.1849
0.6336 0.3731 0.5565
0.5000 0.0000 0.5000
0.5294 0.1407 0.0551
0.8656 0.7505 0.7899
0.4635 0.1849 0.7918
0.3656 0.7899 0.7505
0.8664 0.4435 0.6269
0.1173 0.0444 0.4787
0.0000 0.5000 0.0000
0.0365 0.2082 0.8151
0.5365 0.8151 0.2082
0.8827 0.9556 0.5213
0.0294 0.0551 0.1407
0.4706 0.8593 0.9449
0.6173 0.4787 0.0444
0.6344 0.2101 0.2495
0.9706 0.9449 0.8593
0.2872 0.2084 0.3974
0.7128 0.7916 0.6026
0.2500 0.7836 0.2164
0.7500 0.2164 0.7836
0.7872 0.3974 0.2084
0.2128 0.6026 0.7916
```

Results
The distance to the lowest polymorph of the same formula comes out at 22 meV per atom. The value obtained for the calculated formation energy is -104 meV per atom.


8.
Below is Pm2GeS5 after structural relaxation, with properties calculated at the GGA-PBE level.

Structure (POSCAR):
```
Pm2GeS5
1.0
-0.7494 -2.7382 6.2899
-0.1505 -5.9519 -3.2139
4.8204 3.0469 -0.7275
S Ge Pm
5 1 2
Direct
0.1519 0.6584 0.8442
0.9715 0.9716 0.3353
0.2898 0.2330 0.0960
0.6546 0.7115 0.5169
0.7926 0.2860 0.9783
0.9722 0.9721 0.9501
0.7430 0.2967 0.4641
0.2015 0.6477 0.3689
```

Results
The distance to the lowest polymorph of the same formula comes out at 131 meV per atom.


9.
Below is PmSbRh3 after structural relaxation, with properties calculated at the GGA-PBE level.

Structure (POSCAR):
```
PmSbRh3
1.0
6.9295 -0.1686 -0.8593
-3.4715 5.9996 0.8593
-3.7951 -1.6903 5.6148
Rh Sb Pm
6 2 2
Direct
0.5232 0.7732 0.2500
0.5000 0.3685 0.3685
0.5000 0.6315 0.6315
0.0000 0.6315 0.1315
0.4768 0.2268 0.7500
0.0000 0.3685 0.8685
0.5000 0.0000 0.5000
0.5000 0.5000 0.0000
0.9411 0.1911 0.2500
0.0589 0.8089 0.7500
```

Results
The distance to the lowest polymorph of the same formula comes out at 170 meV per atom.


10.
Below is Na3Np2AgTe6 after structural relaxation, with properties calculated at the GGA-PBE level.

Structure (POSCAR):
```
Na3Np2AgTe6
1.0
7.6236 0.0030 0.0016
-3.8073 6.6048 0.0016
-1.2714 -2.2015 7.4958
Np Te Na Ag
2 6 3 1
Direct
0.3329 0.6671 0.0000
0.6671 0.3329 0.0000
0.7384 0.7384 0.2294
0.0767 0.4145 0.2297
0.5855 0.9233 0.7703
0.2616 0.2616 0.7706
0.4145 0.0767 0.2297
0.9233 0.5855 0.7703
0.8361 0.1639 0.5000
0.5000 0.5000 0.5000
0.1639 0.8361 0.5000
0.0000 0.0000 0.0000
```

Results
The value obtained for the total energy is -4.969 eV/atom.


11.
Below is Ag2TePb after structural relaxation, with properties calculated at the GGA-PBE level.

Structure (POSCAR):
```
Ag2TePb
1.0
-2.2909 2.1341 -0.7246
-2.7351 -2.4143 1.5369
0.9414 3.3848 6.9921
Te Ag Pb
1 2 1
Direct
0.5000 0.5000 0.8094
0.5000 0.5000 0.2127
0.0000 0.0000 0.0289
0.0000 0.0000 0.4490
```

Results
The distance to the lowest polymorph of the same formula comes out at 25 meV per atom.


12.
Below is CuOsRh2 after structural relaxation, with properties calculated at the GGA-PBE level.

Structure (POSCAR):
```
CuOsRh2
1.0
6.0658 0.0011 0.0034
-2.4320 3.9611 -0.0025
1.2018 0.7406 2.3056
Rh Os Cu
2 1 1
Direct
0.5000 0.0000 0.5000
0.0000 0.0000 0.0000
0.5000 0.5000 0.0000
0.0000 0.5000 0.5000
```

Results
The distance to the lowest polymorph of the same formula comes out at 139 meV per atom. The value obtained for the calculated formation energy is 162 meV per atom.


So what do the calculations give for total magnetic moment? Going down the list: 0.0000, 0.0000, 0.0000, 0.1490, 0.1500, 0.0000, 0.0017, 0.0000, 0.0000, 0.4995, 0.0000, 0.0001 μB/atom.